A plane-wave DFT calculation with GGA-PBE was carried out for a relaxed Ba2CuBr crystal.

Values from the calculation:
The calculation puts the energy above the most stable polymorph in this dataset at 12 meV/atom.

Lattice parameters (Å, degrees): 4.5973 4.5973 8.9783 75.17 75.17 60.00
Sites, in units of the cell vectors:
1 Ba 0.0720 0.0720 0.7840
2 Ba 0.2618 0.2618 0.2146
3 Cu 0.6677 0.6677 0.9969
4 Br 0.4985 0.4985 0.5046

***

A plane-wave DFT calculation with GGA-PBE was carried out for a relaxed Ba2CuBr crystal.

Values from the calculation:
The calculation puts the energy above the most stable polymorph in this dataset at 242 meV/atom.

Lattice parameters (Å, degrees): 7.8191 7.8191 7.8191 145.47 145.47 49.63
Sites, in units of the cell vectors:
1 Ba 0.0000 0.0000 0.0000
2 Ba 0.2500 0.7500 0.5000
3 Br 0.5000 0.5000 0.0000
4 Cu 0.7500 0.2500 0.5000

***

A plane-wave DFT calculation with GGA-PBE was carried out for a relaxed BaCuBrF2 crystal.

Lattice parameters (Å, degrees): 6.8923 6.8923 6.6489 121.22 121.22 89.99
Sites, in units of the cell vectors:
1 Ba 0.7501 0.2501 0.5002
2 Ba 0.2501 0.7501 0.5002
3 Cu 0.0000 0.0000 0.0000
4 Cu 0.5000 0.5000 0.0000
5 Br 0.7500 0.7500 0.5000
6 Br 0.2500 0.2500 0.5000
7 F 0.3483 0.8483 0.0001
8 F 0.8483 0.6519 0.0001
9 F 0.6519 0.1519 0.0001
10 F 0.1519 0.3483 0.0001

***

A plane-wave DFT calculation with GGA-PBE was carried out for a relaxed Ba2GaCuBr crystal.

Lattice parameters (Å, degrees): 6.2680 6.2680 4.5495 90.00 90.00 90.00
Sites, in units of the cell vectors:
1 Ga 0.0000 0.0000 0.5000
2 Cu 0.0000 0.0000 0.0000
3 Ba 0.0000 0.5000 0.0000
4 Ba 0.5000 0.0000 0.0000
5 Br 0.5000 0.5000 0.5000

***

A plane-wave DFT calculation with GGA-PBE was carried out for a relaxed Ba2HfCuBr crystal.

Lattice parameters (Å, degrees): 6.4603 5.1344 6.4603 90.00 90.00 90.00
Sites, in units of the cell vectors:
1 Cu 0.5000 0.5000 0.5000
2 Hf 0.0000 0.0000 0.0000
3 Ba 0.0000 0.0000 0.5000
4 Ba 0.5000 0.0000 0.0000
5 Br 0.0000 0.5000 0.0000

***

A plane-wave DFT calculation with GGA-PBE was carried out for a relaxed BaHfCu2Br crystal.

Lattice parameters (Å, degrees): 5.5954 5.5954 5.8479 90.00 90.00 90.00
Site moments in Bohr magnetons follow the coordinates.
Sites, in units of the cell vectors:
1 Cu 0.0000 0.5000 0.0000  -0.02
2 Cu 0.5000 0.0000 0.0000  -0.02
3 Hf 0.5000 0.5000 0.5000  0.99
4 Ba 0.0000 0.0000 0.0000  0.00
5 Br 0.0000 0.0000 0.5000  0.01

***

A plane-wave DFT calculation with GGA-PBE was carried out for a relaxed BaCu2HgBr8 crystal.

Lattice parameters (Å, degrees): 7.7144 7.7144 8.8476 90.00 90.00 120.00
Site moments in Bohr magnetons follow the coordinates.
Sites, in units of the cell vectors:
1 Ba 0.0000 0.0000 0.5000  0.00
2 Cu 0.3333 0.6667 0.7057  0.38
3 Cu 0.6667 0.3333 0.2943  0.38
4 Hg 0.0000 0.0000 0.0000  0.02
5 Br 0.1612 0.3223 0.7895  0.09
6 Br 0.1612 0.8388 0.7895  0.09
7 Br 0.6777 0.8388 0.7895  0.09
8 Br 0.3223 0.1612 0.2105  0.09
9 Br 0.6667 0.3333 0.5559  0.17
10 Br 0.3333 0.6667 0.4441  0.17
11 Br 0.8388 0.6777 0.2105  0.09
12 Br 0.8388 0.1612 0.2105  0.09

***

A plane-wave DFT calculation with GGA-PBE was carried out for a relaxed Ba2CuIrBr crystal.

Lattice parameters (Å, degrees): 5.9906 5.9906 4.7755 90.00 90.00 90.00
Sites, in units of the cell vectors:
1 Ir 0.0000 0.0000 0.0000
2 Ba 0.0000 0.5000 0.0000
3 Ba 0.5000 0.0000 0.0000
4 Br 0.5000 0.5000 0.5000
5 Cu 0.0000 0.0000 0.5000

***

A plane-wave DFT calculation with GGA-PBE was carried out for a relaxed KBaCu2Br6 crystal.

Lattice parameters (Å, degrees): 9.4034 9.4034 10.0747 99.53 99.53 111.63
Site moments in Bohr magnetons follow the coordinates.
Sites, in units of the cell vectors:
1 K 0.0905 0.9095 0.2500  0.00
2 K 0.9095 0.0905 0.7500  0.00
3 Ba 0.5529 0.4471 0.2500  0.00
4 Ba 0.4471 0.5529 0.7500  0.00
5 Cu 0.4159 0.1071 0.7267  0.28
6 Cu 0.8929 0.5841 0.7733  0.28
7 Cu 0.5841 0.8929 0.2733  0.28
8 Cu 0.1071 0.4159 0.2267  0.28
9 Br 0.9203 0.5215 0.2149  0.07
10 Br 0.4785 0.0797 0.2851  0.07
11 Br 0.0797 0.4785 0.7851  0.07
12 Br 0.5215 0.9203 0.7149  0.07
13 Br 0.1589 0.2168 0.1001  0.04
14 Br 0.7832 0.8411 0.3999  0.04
15 Br 0.8411 0.7832 0.8999  0.04
16 Br 0.2168 0.1589 0.6001  0.04
17 Br 0.3273 0.5641 0.4227  0.07
18 Br 0.4359 0.6727 0.0773  0.07
19 Br 0.6727 0.4359 0.5773  0.07
20 Br 0.5641 0.3273 0.9227  0.07

***

A plane-wave DFT calculation with GGA-PBE was carried out for a relaxed BaLa2CuBr crystal.

Lattice parameters (Å, degrees): 5.8726 4.9338 5.8726 90.00 90.00 90.00
Sites, in units of the cell vectors:
1 Cu 0.0000 0.5000 0.0000
2 Ba 0.5000 0.5000 0.5000
3 Br 0.0000 0.0000 0.0000
4 La 0.0000 0.0000 0.5000
5 La 0.5000 0.0000 0.0000

***

A plane-wave DFT calculation with GGA-PBE was carried out for a relaxed BaLiCuBr2 crystal.

Lattice parameters (Å, degrees): 4.9239 6.2992 4.9239 90.00 90.00 90.00
Sites, in units of the cell vectors:
1 Cu 0.5000 0.5000 0.5000
2 Ba 0.0000 0.5000 0.0000
3 Br 0.0000 0.0000 0.5000
4 Br 0.5000 0.0000 0.0000
5 Li 0.0000 0.0000 0.0000

***

A plane-wave DFT calculation with GGA-PBE was carried out for a relaxed BaMnCu2Br8 crystal.

Lattice parameters (Å, degrees): 6.4710 6.4710 9.3640 88.93 88.93 70.77
Site moments in Bohr magnetons follow the coordinates.
Sites, in units of the cell vectors:
1 Ba 0.0000 0.0000 0.5000  0.00
2 Mn 0.0000 0.0000 0.0000  3.56
3 Cu 0.6459 0.6459 0.2185  -0.24
4 Cu 0.3541 0.3541 0.7815  -0.24
5 Br 0.7621 0.2405 0.8029  -0.04
6 Br 0.7654 0.7654 0.0001  -0.03
7 Br 0.6892 0.6892 0.4658  -0.04
8 Br 0.3108 0.3108 0.5342  -0.04
9 Br 0.2346 0.2346 0.9999  -0.03
10 Br 0.2405 0.7621 0.8029  -0.04
11 Br 0.7595 0.2379 0.1971  -0.04
12 Br 0.2379 0.7595 0.1971  -0.04

***

A plane-wave DFT calculation with GGA-PBE was carried out for a relaxed BaNaCuBr2 crystal.

Lattice parameters (Å, degrees): 6.0486 10.3004 6.0486 90.00 90.00 90.00
Sites, in units of the cell vectors:
1 Na 0.0000 0.5000 0.0000
2 Cu 0.5000 0.5000 0.5000
3 Ba 0.0000 0.0000 0.0000
4 Br 0.0000 0.0000 0.5000
5 Br 0.5000 0.0000 0.0000

***

A plane-wave DFT calculation with GGA-PBE was carried out for a relaxed BaNa3Cu4Br12 crystal.

Lattice parameters (Å, degrees): 9.2221 9.2221 9.2221 102.82 102.82 102.82
Site moments in Bohr magnetons follow the coordinates.
Sites, in units of the cell vectors:
1 Ba 0.0000 0.0000 0.0000  0.00
2 Na 0.5568 0.4432 0.0000  0.00
3 Na 0.4432 0.0000 0.5568  0.00
4 Na 0.0000 0.5568 0.4432  0.00
5 Cu 0.9356 0.0644 0.5000  0.32
6 Cu 0.0644 0.5000 0.9356  0.32
7 Cu 0.5000 0.9356 0.0644  0.32
8 Cu 0.5000 0.5000 0.5000  0.32
9 Br 0.5000 0.3392 0.6608  0.10
10 Br 0.9012 0.5000 0.0988  0.14
11 Br 0.0988 0.9012 0.5000  0.14
12 Br 0.5000 0.0988 0.9012  0.14
13 Br 0.3320 0.9786 0.2115  0.06
14 Br 0.2115 0.3320 0.9786  0.06
15 Br 0.9786 0.2115 0.3320  0.06
16 Br 0.6680 0.7885 0.0214  0.06
17 Br 0.0214 0.6680 0.7885  0.06
18 Br 0.7885 0.0214 0.6680  0.06
19 Br 0.6608 0.5000 0.3392  0.10
20 Br 0.3392 0.6608 0.5000  0.10

***

A plane-wave DFT calculation with GGA-PBE was carried out for a relaxed BaNaCuBrO2 crystal.

Lattice parameters (Å, degrees): 3.9939 3.9939 7.3476 90.00 90.00 90.00
Site moments in Bohr magnetons follow the coordinates.
Sites, in units of the cell vectors:
1 Ba 0.0000 0.0000 0.4691  0.00
2 Na 0.0000 0.0000 0.0364  0.00
3 Cu 0.5000 0.5000 0.2135  0.16
4 Br 0.5000 0.5000 0.7491  0.00
5 O 0.0000 0.5000 0.2340  0.04
6 O 0.5000 0.0000 0.2340  0.04

***

A plane-wave DFT calculation with GGA-PBE was carried out for a relaxed Ba2CuNiBr crystal.

Lattice parameters (Å, degrees): 5.9303 5.9303 4.5386 90.00 90.00 90.00
Sites, in units of the cell vectors:
1 Ni 0.0000 0.0000 0.0000
2 Cu 0.0000 0.0000 0.5000
3 Ba 0.0000 0.5000 0.0000
4 Ba 0.5000 0.0000 0.0000
5 Br 0.5000 0.5000 0.5000

***

A plane-wave DFT calculation with GGA-PBE was carried out for a relaxed BaNpCu2Br8 crystal.

Lattice parameters (Å, degrees): 6.7410 6.7410 9.5982 89.18 89.18 72.45
Site moments in Bohr magnetons follow the coordinates.
Sites, in units of the cell vectors:
1 Ba 0.0000 0.0000 0.5000  0.00
2 Np 0.0000 0.0000 0.0000  3.46
3 Cu 0.6635 0.6635 0.2342  -0.12
4 Cu 0.3365 0.3365 0.7658  -0.12
5 Br 0.7508 0.2379 0.7859  -0.04
6 Br 0.7437 0.7437 0.0041  -0.05
7 Br 0.7035 0.7035 0.4721  -0.01
8 Br 0.2965 0.2965 0.5279  -0.01
9 Br 0.2563 0.2563 0.9959  -0.05
10 Br 0.2379 0.7508 0.7859  -0.04
11 Br 0.7621 0.2492 0.2141  -0.04
12 Br 0.2492 0.7621 0.2141  -0.04

***

A plane-wave DFT calculation with GGA-PBE was carried out for a relaxed Ba2Cu3Br2O4 crystal.

Lattice parameters (Å, degrees): 8.5569 8.5569 8.5569 141.92 141.92 54.95
Site moments in Bohr magnetons follow the coordinates.
Sites, in units of the cell vectors:
1 O 0.2431 0.7569 0.0000  0.05
2 O 0.7569 0.7569 0.5138  0.05
3 O 0.2431 0.2431 0.4862  0.05
4 O 0.7569 0.2431 0.0000  0.05
5 Br 0.2500 0.7500 0.5000  0.00
6 Br 0.7500 0.2500 0.5000  0.00
7 Ba 0.6308 0.6308 0.0000  0.01
8 Ba 0.3692 0.3692 0.0000  0.01
9 Cu 0.5000 0.0000 0.5000  0.01
10 Cu 0.0000 0.5000 0.5000  0.01
11 Cu 0.0000 0.0000 0.0000  0.35

***

A plane-wave DFT calculation with GGA-PBE was carried out for a relaxed Ba2CuPBr crystal.

Lattice parameters (Å, degrees): 6.2961 6.2961 4.3083 90.00 90.00 90.00
Sites, in units of the cell vectors:
1 P 0.0000 0.0000 0.0000
2 Cu 0.0000 0.0000 0.5000
3 Ba 0.0000 0.5000 0.0000
4 Ba 0.5000 0.0000 0.0000
5 Br 0.5000 0.5000 0.5000

***

A plane-wave DFT calculation with GGA-PBE was carried out for a relaxed Ba8CuP3Br4 crystal.

Lattice parameters (Å, degrees): 9.4023 9.6725 9.4042 119.08 119.99 90.00
Site moments in Bohr magnetons follow the coordinates.
Sites, in units of the cell vectors:
1 Ba 0.2425 0.7171 0.9745  0.07
2 Ba 0.2428 0.7173 0.4855  0.07
3 Ba 0.2621 0.2863 0.5243  0.01
4 Ba 0.7320 0.7171 0.9745  0.07
5 Ba 0.2680 0.2829 0.0255  0.07
6 Ba 0.7379 0.7137 0.4757  0.01
7 Ba 0.7572 0.2827 0.5145  0.07
8 Ba 0.7575 0.2829 0.0255  0.07
9 Cu 0.0000 0.5000 0.0000  0.00
10 P 0.5000 0.5000 0.0000  -0.01
11 P 0.5000 0.5000 0.5000  -0.01
12 P 0.0000 0.5000 0.5000  -0.01
13 Br 0.5000 0.0000 0.0000  0.00
14 Br 0.5000 0.0000 0.5000  0.00
15 Br 0.0000 0.0000 0.0000  0.00
16 Br 0.0000 0.0000 0.5000  0.00

***

Listing total energy for the structures above in their given order: -3.18; -2.96; -4.41; -3.16; -3.43; -3.15; -2.66; -4.22; -3.25; -3.52; -2.88; -3.58; -2.60; -3.00; -4.69; -3.57; -4.16; -5.01; -3.94; -3.99 eV per atom.
Listing uncorrected formation energy for the structures above in their given order: -0.781; -0.551; -2.119; -0.636; 0.484; 1.199; -0.676; -0.523; -1.123; -0.008; -0.622; -0.859; -0.467; -0.887; -1.534; -0.495; -1.118; -1.434; -0.935; -1.339 eV/atom.